Entry 1:
Density functional theory data (PBEsol) for SrCr10O15 after structural relaxation.

Output
- crystal system = orthorhombic
- formation energy without anion corrections (kJ/mol of formula units) = -4728
- VASP energy (eV/f.u.) = -232.00
- volume (Å³/atom) = 9.86

```
data_SrCr10O15
_chemical_formula_sum 'Sr4 Cr40 O60'
_space_group_name_H-M_alt 'C m c e'
_space_group_IT_number 64
_space_group_name_Hall '-C 2ac 2'
_cell_length_a 11.3838
_cell_length_b 9.9881
_cell_length_c 9.0156
_cell_angle_alpha 90.00
_cell_angle_beta 90.00
_cell_angle_gamma 90.00
loop_
_atom_site_label
_atom_site_fract_x
_atom_site_fract_y
_atom_site_fract_z
Sr1 0.0000 0.0000 0.0000
Cr1 0.0000 0.1839 0.3671
Cr2 0.1270 0.0856 0.6426
Cr3 0.2473 0.1641 0.1232
O1 0.0000 0.0000 0.5000
O2 0.0000 0.1485 0.7672
O3 0.1243 0.0887 0.2527
O4 0.1277 0.2399 0.5046
O5 0.2434 0.0000 0.5000
O6 0.2500 0.1756 0.7500
```

=====

Entry 2:
Density functional theory data (PBEsol) for La2In3Sn3 after structural relaxation.

Output
- DFT formation energy (eV per atom) = -0.599
- crystal system = orthorhombic
- VASP energy (eV/f.u.) = -37.21
- volume (Å³/atom) = 26.14

```
data_La2In3Sn3
_chemical_formula_sum 'La2 In3 Sn3'
_space_group_name_H-M_alt 'P m m m'
_space_group_IT_number 47
_space_group_name_Hall '-P 2 2'
_cell_length_a 4.7102
_cell_length_b 4.7813
_cell_length_c 9.2857
_cell_angle_alpha 90.00
_cell_angle_beta 90.00
_cell_angle_gamma 90.00
loop_
_atom_site_label
_atom_site_fract_x
_atom_site_fract_y
_atom_site_fract_z
La1 0.0000 0.0000 0.2472
In1 0.0000 0.5000 0.5000
In2 0.5000 0.5000 0.2530
Sn1 0.0000 0.5000 0.0000
Sn2 0.5000 0.0000 0.0000
Sn3 0.5000 0.0000 0.5000
```